No. 1
Here is crystalline PaCd3Ni8 at its relaxed geometry from Alexandria via LeMat-Bulk. Energies are from PBE-GGA.

The value obtained for the formation energy is -171 meV/atom. The crystal system is trigonal. As for the calculated total energy: -181.62 eV for the cell shown. For the density of states at the Fermi level, the calculation gives 0.9501 states/eV per atom.

It has space group R3m (No. 160, hexagonal axes), with a = 4.9405 Å, b = 4.9405 Å, c = 24.2686 Å, α = 90.00°, β = 90.00° and γ = 120.00°. Symmetry generates all atoms from Pa at (0.0000, 0.0000, 0.0000), Cd at (0.0000, 0.0000, 0.1299), Cd at (0.0000, 0.0000, 0.4953), Cd at (0.0000, 0.0000, 0.6148), Ni at (0.0000, 0.0000, 0.3116), Ni at (0.0000, 0.0000, 0.8115), Ni at (0.0011, 0.5006, 0.5629) and Ni at (0.1682, 0.3364, 0.3939).

No. 2
Here is crystalline SmThSn2 at its relaxed geometry from Alexandria via LeMat-Bulk. Energies are from PBE-GGA.

The value obtained for the formation energy is -471 meV/atom. The crystal system is cubic. As for the calculated total energy: -88.11 eV for the cell shown. For the density of states at the Fermi level, the calculation gives 1.8316 states/eV per atom.

It has space group Fm-3m (No. 225), with a = 7.730 Å, b = 7.730 Å, c = 7.730 Å, α = 90.00°, β = 90.00° and γ = 90.00°. Symmetry generates all atoms from Sm at (0.000, 0.000, 0.000), Th at (0.000, 0.000, 0.500) and Sn at (0.250, 0.250, 0.250).

No. 3
Here is crystalline Mn5Cl at its relaxed geometry from Alexandria via LeMat-Bulk. Energies are from PBE-GGA.

The value obtained for the formation energy (no corrections) is 0.307 eV per atom. The crystal system is monoclinic. As for the calculated total energy: -91.71 eV for the cell shown. For the density of states at the Fermi level, the calculation gives 0.6724 states/eV per atom.

It has space group Cm (No. 8), with a = 10.897 Å, b = 2.872 Å, c = 5.291 Å, α = 90.00°, β = 99.81° and γ = 90.00°. Symmetry generates all atoms from Mn at (0.000, 0.000, 0.000), Mn at (0.008, 0.000, 0.506), Mn at (0.133, 0.500, 0.286), Mn at (0.166, 0.500, 0.822), Mn at (0.316, 0.000, 0.201) and Cl at (0.348, 0.000, 0.703).

No. 4
Here is crystalline PmScCu2S4 at its relaxed geometry from Alexandria via LeMat-Bulk. Energies are from PBE-GGA.

The value obtained for the formation energy (no corrections) is -1.157 eV per atom. The crystal system is orthorhombic. As for the calculated total energy: -90.08 eV for the cell shown. For the density of states at the Fermi level, the calculation gives 0.0890 states/eV per atom.

It has space group I222 (No. 23), with a = 6.348 Å, b = 6.620 Å, c = 7.627 Å, α = 90.00°, β = 90.00° and γ = 90.00°. Symmetry generates all atoms from Pm at (0.000, 0.000, 0.000), Sc at (0.000, 0.000, 0.500), Cu at (0.000, 0.500, 0.168) and S at (0.227, 0.215, 0.316).

What is the calculated total energy in the second record?
-88.11 eV for the cell shown

What is the calculated total energy in the third record?
-91.71 eV for the cell shown